Compound: AcZn2Ag2Pt
Source: Alexandria via LeMat-Bulk
Functional: PBE-GGA
Structure: relaxed

Structure (POSCAR):
```
AcZn2Ag2Pt
1.0
-2.3098 -2.4615 2.5342
1.3545 -3.4134 -2.0810
6.8536 2.3013 4.9670
Zn Pt Ag Ac
2 1 2 1
Cartesian
1.9119 -0.1908 1.5574
3.9863 -3.3829 3.8628
0.0000 0.0000 0.0000
2.0330 -1.5489 3.8639
3.8652 -2.0248 1.5563
-0.4777 -2.9375 0.2266
```

The energy relative to the elements comes out at -303.3 meV per atom. For the calculated volume, the calculation gives 24.49 Å³ per atom. The space group is I4/mmm. The crystal system is tetragonal.

Compound: Al2TcPt
Source: Alexandria via LeMat-Bulk
Functional: PBE-GGA
Structure: relaxed

Structure (POSCAR):
```
Al2TcPt
1.0
4.3970 0.0000 0.0000
2.1985 3.8079 0.0000
2.1985 1.2693 3.5901
Tc Al Pt
1 2 1
Cartesian
6.5954 3.8079 2.6926
2.1985 1.2693 0.8975
0.0000 0.0000 0.0000
4.3970 2.5386 1.7950
```

The energy relative to the elements comes out at -219.0 meV per atom. For the calculated volume, the calculation gives 15.03 Å³ per atom. The space group is F-43m. The crystal system is cubic.

Compound: LaCuO3
Source: Alexandria via LeMat-Bulk
Functional: PBE-GGA
Structure: relaxed

Structure (POSCAR):
```
LaCuO3
1.0
3.5976 -2.0771 0.0000
0.0000 4.1542 0.0000
0.0000 0.0000 8.2064
La O Cu
2 6 2
Cartesian
2.3984 0.0000 2.0516
1.1992 2.0771 6.1548
2.3984 0.0000 4.5012
0.0000 0.0000 6.1548
0.0000 0.0000 2.0516
2.3984 0.0000 7.8084
1.1992 2.0771 0.3980
1.1992 2.0771 3.7052
0.0000 0.0000 4.1032
0.0000 0.0000 0.0000
```

For the calculated volume, the calculation gives 12.26 Å³ per atom. The energy relative to the elements, uncorrected is -1.586 eV per atom. The space group is P6_3/mmc. The crystal system is hexagonal.

The records above yield calculated total energy values of -3.370; -6.192; -6.366 eV/atom, respectively.